# 1
# BaAs2Pb2

Crystalline BaAs2Pb2 at its relaxed geometry (PBE, the Alexandria database).

Values from the calculation:
VASP energy = -4.155 eV/atom

The structure in POSCAR format:
```
BaAs2Pb2
1.0
-2.327 2.327 7.168
2.327 -2.327 7.168
2.327 2.327 -7.168
Ba As Pb
1 2 2
direct
0.000 0.000 0.000
0.414 0.414 0.000
0.586 0.586 0.000
0.250 0.750 0.500
0.750 0.250 0.500
```

# 2
# Ba2AsPb

Crystalline Ba2AsPb at its relaxed geometry (PBE, the Alexandria database).

Values from the calculation:
VASP energy = -3.675 eV/atom

The structure in POSCAR format:
```
Ba2AsPb
1.0
3.663 -4.649 0.000
3.663 4.649 0.000
0.000 0.000 4.160
Ba As Pb
2 1 1
direct
0.000 0.500 0.000
0.500 0.000 0.000
0.000 0.000 0.500
0.500 0.500 0.500
```

no.,total magnetization (μB/f.u.),density (Mg/m³),D(E_F) (states/eV/cell)
1,0.00,7.5,3.516
2,0.00,6.5,1.294